MgCdRe2: optimized geometry, GGA-PBE.

Cell and atoms, written as CIF:
```
data_MgCdRe2
_symmetry_space_group_name_H-M 'P 1'
_symmetry_Int_Tables_number 1
_symmetry_space_group_name_Hall 'P 1'
_cell_length_a 5.3347
_cell_length_b 5.3347
_cell_length_c 2.7147
_cell_angle_alpha 90.00
_cell_angle_beta 90.00
_cell_angle_gamma 119.88
loop_
_atom_site_label
_atom_site_type_symbol
_atom_site_fract_x
_atom_site_fract_y
_atom_site_fract_z
Mg1 Mg 0.0000 0.0000 0.0000
Cd1 Cd 0.5000 0.5000 0.0000
Re1 Re 0.0000 0.5000 0.5000
Re2 Re 0.5000 0.0000 0.5000
```

**E**: -25.1 eV per cell
**Distance to the lowest polymorph of the same formula**: 448 meV/atom



MgCd2Re: optimized geometry, GGA-PBE.

Cell and atoms, written as CIF:
```
data_MgCd2Re
_symmetry_space_group_name_H-M 'P 1'
_symmetry_Int_Tables_number 1
_symmetry_space_group_name_Hall 'P 1'
_cell_length_a 2.8718
_cell_length_b 2.8718
_cell_length_c 9.1855
_cell_angle_alpha 90.00
_cell_angle_beta 90.00
_cell_angle_gamma 90.00
loop_
_atom_site_label
_atom_site_type_symbol
_atom_site_fract_x
_atom_site_fract_y
_atom_site_fract_z
Mg1 Mg 0.0000 0.0000 0.0000
Cd1 Cd 0.0000 0.0000 0.4586
Cd2 Cd 0.5000 0.5000 0.7330
Re1 Re 0.5000 0.5000 0.2207
```

**E**: -14.4 eV per cell



MgCdRe2: optimized geometry, GGA-PBE.

Cell and atoms, written as CIF:
```
data_MgCdRe2
_symmetry_space_group_name_H-M 'P 1'
_symmetry_Int_Tables_number 1
_symmetry_space_group_name_Hall 'P 1'
_cell_length_a 4.7426
_cell_length_b 4.7426
_cell_length_c 5.3146
_cell_angle_alpha 95.70
_cell_angle_beta 95.70
_cell_angle_gamma 34.55
loop_
_atom_site_label
_atom_site_type_symbol
_atom_site_fract_x
_atom_site_fract_y
_atom_site_fract_z
Mg1 Mg 0.0000 0.0000 0.0000
Cd1 Cd 0.7554 0.7554 0.2267
Re1 Re 0.2499 0.2499 0.7125
Re2 Re 0.5026 0.5026 0.5333
```

**E**: -25.7 eV per cell
**Distance to the lowest polymorph of the same formula**: 284 meV/atom



MgCdRe2: optimized geometry, GGA-PBE.

Cell and atoms, written as CIF:
```
data_MgCdRe2
_symmetry_space_group_name_H-M 'P 1'
_symmetry_Int_Tables_number 1
_symmetry_space_group_name_Hall 'P 1'
_cell_length_a 3.2068
_cell_length_b 4.3458
_cell_length_c 4.7372
_cell_angle_alpha 90.00
_cell_angle_beta 90.00
_cell_angle_gamma 90.00
loop_
_atom_site_label
_atom_site_type_symbol
_atom_site_fract_x
_atom_site_fract_y
_atom_site_fract_z
Mg1 Mg 0.0000 0.0000 0.0000
Cd1 Cd 0.5000 0.5000 0.0000
Re1 Re 0.0000 0.5000 0.5000
Re2 Re 0.5000 0.0000 0.5000
```

**E**: -25.6 eV per cell
**Distance to the lowest polymorph of the same formula**: 308 meV/atom



MgCdRe2: optimized geometry, GGA-PBE.

Cell and atoms, written as CIF:
```
data_MgCdRe2
_symmetry_space_group_name_H-M 'P 1'
_symmetry_Int_Tables_number 1
_symmetry_space_group_name_Hall 'P 1'
_cell_length_a 3.0637
_cell_length_b 3.0637
_cell_length_c 7.4300
_cell_angle_alpha 90.00
_cell_angle_beta 90.00
_cell_angle_gamma 90.00
loop_
_atom_site_label
_atom_site_type_symbol
_atom_site_fract_x
_atom_site_fract_y
_atom_site_fract_z
Mg1 Mg 0.0000 0.0000 0.0000
Cd1 Cd 0.5000 0.5000 0.7129
Re1 Re 0.0000 0.0000 0.4367
Re2 Re 0.5000 0.5000 0.2484
```

**E**: -26.9 eV per cell
**Distance to the lowest polymorph of the same formula**: 0 meV/atom



MgCd2Re: optimized geometry, GGA-PBE.

Cell and atoms, written as CIF:
```
data_MgCd2Re
_symmetry_space_group_name_H-M 'P 1'
_symmetry_Int_Tables_number 1
_symmetry_space_group_name_Hall 'P 1'
_cell_length_a 9.9738
_cell_length_b 9.9738
_cell_length_c 9.9738
_cell_angle_alpha 17.06
_cell_angle_beta 17.06
_cell_angle_gamma 17.06
loop_
_atom_site_label
_atom_site_type_symbol
_atom_site_fract_x
_atom_site_fract_y
_atom_site_fract_z
Mg1 Mg 0.0000 0.0000 0.0000
Cd1 Cd 0.2476 0.2476 0.2476
Cd2 Cd 0.7524 0.7524 0.7524
Re1 Re 0.5000 0.5000 0.5000
```

**E**: -14.2 eV per cell



MgCd2Re: optimized geometry, GGA-PBE.

Cell and atoms, written as CIF:
```
data_MgCd2Re
_symmetry_space_group_name_H-M 'P 1'
_symmetry_Int_Tables_number 1
_symmetry_space_group_name_Hall 'P 1'
_cell_length_a 4.3457
_cell_length_b 4.3457
_cell_length_c 3.8514
_cell_angle_alpha 90.00
_cell_angle_beta 90.00
_cell_angle_gamma 90.00
loop_
_atom_site_label
_atom_site_type_symbol
_atom_site_fract_x
_atom_site_fract_y
_atom_site_fract_z
Mg1 Mg 0.0000 0.0000 0.0000
Cd1 Cd 0.0000 0.5000 0.5000
Cd2 Cd 0.5000 0.0000 0.5000
Re1 Re 0.5000 0.5000 0.0000
```

**E**: -14.0 eV per cell



MgCd2Re: optimized geometry, GGA-PBE.

Cell and atoms, written as CIF:
```
data_MgCd2Re
_symmetry_space_group_name_H-M 'P 1'
_symmetry_Int_Tables_number 1
_symmetry_space_group_name_Hall 'P 1'
_cell_length_a 5.2667
_cell_length_b 5.2667
_cell_length_c 2.8726
_cell_angle_alpha 90.00
_cell_angle_beta 90.00
_cell_angle_gamma 113.52
loop_
_atom_site_label
_atom_site_type_symbol
_atom_site_fract_x
_atom_site_fract_y
_atom_site_fract_z
Mg1 Mg 0.0000 0.0000 0.0000
Cd1 Cd 0.0000 0.5000 0.5000
Cd2 Cd 0.5000 0.0000 0.5000
Re1 Re 0.5000 0.5000 0.0000
```

**E**: -14.3 eV per cell



MgCd2Re: optimized geometry, GGA-PBE.

Cell and atoms, written as CIF:
```
data_MgCd2Re
_symmetry_space_group_name_H-M 'P 1'
_symmetry_Int_Tables_number 1
_symmetry_space_group_name_Hall 'P 1'
_cell_length_a 5.8411
_cell_length_b 5.8411
_cell_length_c 5.8411
_cell_angle_alpha 150.27
_cell_angle_beta 130.09
_cell_angle_gamma 59.18
loop_
_atom_site_label
_atom_site_type_symbol
_atom_site_fract_x
_atom_site_fract_y
_atom_site_fract_z
Mg1 Mg 0.0000 0.0000 0.0000
Cd1 Cd 0.2619 0.7619 0.5000
Cd2 Cd 0.7381 0.2381 0.5000
Re1 Re 0.5000 0.5000 0.0000
```

**E**: -14.0 eV per cell



Mg4CdRe: optimized geometry, GGA-PBE.

Cell and atoms, written as CIF:
```
data_Mg4CdRe
_symmetry_space_group_name_H-M 'P 1'
_symmetry_Int_Tables_number 1
_symmetry_space_group_name_Hall 'P 1'
_cell_length_a 5.4544
_cell_length_b 5.4544
_cell_length_c 5.4544
_cell_angle_alpha 60.00
_cell_angle_beta 60.00
_cell_angle_gamma 60.00
loop_
_atom_site_label
_atom_site_type_symbol
_atom_site_fract_x
_atom_site_fract_y
_atom_site_fract_z
Mg1 Mg 0.1238 0.1238 0.1238
Mg2 Mg 0.1238 0.1238 0.6285
Mg3 Mg 0.1238 0.6285 0.1238
Mg4 Mg 0.6285 0.1238 0.1238
Cd1 Cd 0.5000 0.5000 0.5000
Re1 Re 0.7500 0.7500 0.7500
```

**E**: -16.2 eV per cell



MgCd2Re: optimized geometry, GGA-PBE.

Cell and atoms, written as CIF:
```
data_MgCd2Re
_symmetry_space_group_name_H-M 'P 1'
_symmetry_Int_Tables_number 1
_symmetry_space_group_name_Hall 'P 1'
_cell_length_a 2.8123
_cell_length_b 4.7816
_cell_length_c 5.5624
_cell_angle_alpha 90.00
_cell_angle_beta 100.91
_cell_angle_gamma 90.00
loop_
_atom_site_label
_atom_site_type_symbol
_atom_site_fract_x
_atom_site_fract_y
_atom_site_fract_z
Mg1 Mg 0.0000 0.0000 0.0000
Cd1 Cd 0.2251 0.5000 0.7433
Cd2 Cd 0.7749 0.5000 0.2567
Re1 Re 0.5000 0.0000 0.5000
```

**E**: -14.2 eV per cell



MgCdRe2: optimized geometry, GGA-PBE.

Cell and atoms, written as CIF:
```
data_MgCdRe2
_symmetry_space_group_name_H-M 'P 1'
_symmetry_Int_Tables_number 1
_symmetry_space_group_name_Hall 'P 1'
_cell_length_a 4.5132
_cell_length_b 4.5132
_cell_length_c 4.5132
_cell_angle_alpha 119.86
_cell_angle_beta 119.86
_cell_angle_gamma 90.24
loop_
_atom_site_label
_atom_site_type_symbol
_atom_site_fract_x
_atom_site_fract_y
_atom_site_fract_z
Mg1 Mg 0.0000 0.0000 0.0000
Cd1 Cd 0.2500 0.7500 0.5000
Re1 Re 0.5000 0.5000 0.0000
Re2 Re 0.7500 0.2500 0.5000
```

**E**: -25.9 eV per cell
**Distance to the lowest polymorph of the same formula**: 237 meV/atom



MgCd2Re: optimized geometry, GGA-PBE.

Cell and atoms, written as CIF:
```
data_MgCd2Re
_symmetry_space_group_name_H-M 'P 1'
_symmetry_Int_Tables_number 1
_symmetry_space_group_name_Hall 'P 1'
_cell_length_a 2.8739
_cell_length_b 2.8739
_cell_length_c 9.7955
_cell_angle_alpha 90.00
_cell_angle_beta 90.00
_cell_angle_gamma 112.55
loop_
_atom_site_label
_atom_site_type_symbol
_atom_site_fract_x
_atom_site_fract_y
_atom_site_fract_z
Mg1 Mg 0.0000 0.0000 0.0000
Cd1 Cd 0.5000 0.5000 0.2564
Cd2 Cd 0.5000 0.5000 0.7436
Re1 Re 0.0000 0.0000 0.5000
```

**E**: -14.1 eV per cell



MgCd2Re: optimized geometry, GGA-PBE.

Cell and atoms, written as CIF:
```
data_MgCd2Re
_symmetry_space_group_name_H-M 'P 1'
_symmetry_Int_Tables_number 1
_symmetry_space_group_name_Hall 'P 1'
_cell_length_a 5.2668
_cell_length_b 5.2668
_cell_length_c 5.2668
_cell_angle_alpha 134.32
_cell_angle_beta 134.32
_cell_angle_gamma 66.58
loop_
_atom_site_label
_atom_site_type_symbol
_atom_site_fract_x
_atom_site_fract_y
_atom_site_fract_z
Mg1 Mg 0.0000 0.0000 0.0000
Cd1 Cd 0.5000 0.5000 0.0000
Cd2 Cd 0.7500 0.2500 0.5000
Re1 Re 0.2500 0.7500 0.5000
```

**E**: -13.7 eV per cell



MgCd2Re: optimized geometry, GGA-PBE.

Cell and atoms, written as CIF:
```
data_MgCd2Re
_symmetry_space_group_name_H-M 'P 1'
_symmetry_Int_Tables_number 1
_symmetry_space_group_name_Hall 'P 1'
_cell_length_a 5.2973
_cell_length_b 5.2973
_cell_length_c 5.2973
_cell_angle_alpha 134.98
_cell_angle_beta 134.98
_cell_angle_gamma 65.56
loop_
_atom_site_label
_atom_site_type_symbol
_atom_site_fract_x
_atom_site_fract_y
_atom_site_fract_z
Mg1 Mg 0.0000 0.0000 0.0000
Cd1 Cd 0.2500 0.7500 0.5000
Cd2 Cd 0.7500 0.2500 0.5000
Re1 Re 0.5000 0.5000 0.0000
```

**E**: -13.8 eV per cell



Per-record total magnetization, μB per formula unit: 0.00, 0.66, 0.00, 0.00, 0.00, 0.00, 0.01, 0.00, 0.00, 0.00, 0.00, 0.00, 0.00, 0.00, 0.00